[1]
Entry from Alexandria via LeMat-Bulk: an optimized crystal structure of CsCe6S8 (PBE-GGA).

```
data_CsCe6S8
_cell_length_a 10.9981
_cell_length_b 10.9981
_cell_length_c 4.1304
_cell_angle_alpha 90.00
_cell_angle_beta 90.00
_cell_angle_gamma 120.00
_space_group_name_H-M_alt 'P -3'
_space_group_IT_number 147
loop_
_space_group_symop_operation_xyz
'x,y,z'
'-x,-y,-z'
'-y,x-y,z'
'y,-x+y,-z'
'-x+y,-x,z'
'x-y,x,-z'
loop_
_atom_site_label
_atom_site_type_symbol
_atom_site_fract_x
_atom_site_fract_y
_atom_site_fract_z
Cs1 Cs 0.0000 0.0000 0.0000
Ce1 Ce 0.1409 0.6633 0.7481
S1 S 0.0433 0.3609 0.7520
S2 S 0.3333 0.6667 0.2484
```

Results
DFT total energy, eV/atom: -6.450
Raw formation energy, eV per atom: -1.82

***

[2]
Entry from Alexandria via LeMat-Bulk: an optimized crystal structure of BeTeH (PBE-GGA).

```
data_BeTeH
_cell_length_a 3.957
_cell_length_b 3.959
_cell_length_c 10.186
_cell_angle_alpha 80.08
_cell_angle_beta 80.66
_cell_angle_gamma 60.04
_space_group_name_H-M_alt 'P 1'
_space_group_IT_number 1
loop_
_space_group_symop_operation_xyz
'x,y,z'
loop_
_atom_site_label
_atom_site_type_symbol
_atom_site_fract_x
_atom_site_fract_y
_atom_site_fract_z
Be1 Be 0.000 0.000 0.000
Be2 Be 0.294 0.276 0.159
Te1 Te 0.358 0.363 0.907
Te2 Te 0.936 0.914 0.251
H1 H 0.163 0.094 0.550
H2 H 0.200 0.157 0.609
```

Results
DFT total energy, eV/atom: -3.610

***

[3]
Entry from Alexandria via LeMat-Bulk: an optimized crystal structure of TlCI2N (PBE-GGA).

```
data_TlCI2N
_cell_length_a 7.503
_cell_length_b 7.503
_cell_length_c 2.707
_cell_angle_alpha 90.00
_cell_angle_beta 90.00
_cell_angle_gamma 90.00
_space_group_name_H-M_alt 'P 4/m m m'
_space_group_IT_number 123
_space_group_name_Hall '-P 4 2'
loop_
_atom_site_label
_atom_site_type_symbol
_atom_site_fract_x
_atom_site_fract_y
_atom_site_fract_z
Tl1 Tl 0.000 0.000 0.000
C1 C 0.500 0.500 0.500
I1 I 0.000 0.500 0.500
N1 N 0.500 0.500 0.000
```

Results
DFT total energy, eV/atom: -3.815
Raw formation energy, eV per atom: 0.79

***

[4]
Entry from Alexandria via LeMat-Bulk: an optimized crystal structure of SrHgP2 (PBE-GGA).

```
data_SrHgP2
_cell_length_a 4.535
_cell_length_b 3.997
_cell_length_c 5.771
_cell_angle_alpha 90.00
_cell_angle_beta 106.00
_cell_angle_gamma 90.00
_space_group_name_H-M_alt 'P 1 m 1'
_space_group_IT_number 6
loop_
_space_group_symop_operation_xyz
'x,y,z'
'x,-y,z'
loop_
_atom_site_label
_atom_site_type_symbol
_atom_site_fract_x
_atom_site_fract_y
_atom_site_fract_z
Sr1 Sr 0.000 0.000 0.000
Hg1 Hg 0.258 0.500 0.618
P1 P 0.577 0.500 0.199
P2 P 0.657 0.000 0.405
```

Results
Energy of formation, eV/atom: -0.36
DFT total energy, eV/atom: -3.558

***

[5]
Entry from Alexandria via LeMat-Bulk: an optimized crystal structure of InMo2Ru (PBE-GGA).

```
data_InMo2Ru
_cell_length_a 2.842
_cell_length_b 4.190
_cell_length_c 5.515
_cell_angle_alpha 90.00
_cell_angle_beta 90.12
_cell_angle_gamma 90.00
_space_group_name_H-M_alt 'P 1 2/m 1'
_space_group_IT_number 10
loop_
_space_group_symop_operation_xyz
'x,y,z'
'-x,-y,-z'
'-x,y,-z'
'x,-y,z'
loop_
_atom_site_label
_atom_site_type_symbol
_atom_site_fract_x
_atom_site_fract_y
_atom_site_fract_z
In1 In 0.000 0.000 0.000
Mo1 Mo 0.497 0.500 0.727
Ru1 Ru 0.000 0.000 0.500
```

Results
Energy of formation, eV/atom: 0.19
DFT total energy, eV/atom: -8.228

***

[6]
Entry from Alexandria via LeMat-Bulk: an optimized crystal structure of PaBe4Cu8 (PBE-GGA).

```
data_PaBe4Cu8
_cell_length_a 8.257
_cell_length_b 8.257
_cell_length_c 4.570
_cell_angle_alpha 90.00
_cell_angle_beta 90.00
_cell_angle_gamma 90.00
_space_group_name_H-M_alt 'I 4/m m m'
_space_group_IT_number 139
_space_group_name_Hall '-I 4 2'
loop_
_atom_site_label
_atom_site_type_symbol
_atom_site_fract_x
_atom_site_fract_y
_atom_site_fract_z
Pa1 Pa 0.000 0.000 0.000
Be1 Be 0.250 0.250 0.250
Cu1 Cu 0.000 0.223 0.500
Cu2 Cu 0.000 0.350 0.000
```

Results
Energy of formation, eV/atom: -0.07
DFT total energy, eV/atom: -4.465

***

[7]
Entry from Alexandria via LeMat-Bulk: an optimized crystal structure of K2NaLiAu (PBE-GGA).

```
data_K2NaLiAu
_cell_length_a 6.505
_cell_length_b 6.505
_cell_length_c 5.131
_cell_angle_alpha 90.00
_cell_angle_beta 90.00
_cell_angle_gamma 90.00
_space_group_name_H-M_alt 'P 4/m m m'
_space_group_IT_number 123
_space_group_name_Hall '-P 4 2'
loop_
_atom_site_label
_atom_site_type_symbol
_atom_site_fract_x
_atom_site_fract_y
_atom_site_fract_z
K1 K 0.000 0.500 0.000
Na1 Na 0.000 0.000 0.500
Li1 Li 0.500 0.500 0.500
Au1 Au 0.500 0.500 0.000
```

Results
Energy of formation, eV/atom: -0.08
DFT total energy, eV/atom: -1.822

***

[8]
Entry from Alexandria via LeMat-Bulk: an optimized crystal structure of Tb4AsP2N (PBE-GGA).

```
data_Tb4AsP2N
_cell_length_a 3.986
_cell_length_b 13.389
_cell_length_c 13.893
_cell_angle_alpha 90.00
_cell_angle_beta 90.00
_cell_angle_gamma 90.00
_space_group_name_H-M_alt 'C m c m'
_space_group_IT_number 63
_space_group_name_Hall '-C 2c 2'
loop_
_atom_site_label
_atom_site_type_symbol
_atom_site_fract_x
_atom_site_fract_y
_atom_site_fract_z
Tb1 Tb 0.000 0.000 0.000
Tb2 Tb 0.000 0.261 0.129
Tb3 Tb 0.000 0.433 0.750
As1 As 0.000 0.110 0.750
P1 P 0.000 0.367 0.552
N1 N 0.000 0.156 0.250
```

Results
DFT total energy, eV/atom: -6.715
Raw formation energy, eV per atom: -1.43

***

[9]
Entry from Alexandria via LeMat-Bulk: an optimized crystal structure of Zr2SiH2 (PBE-GGA).

```
data_Zr2SiH2
_cell_length_a 3.361
_cell_length_b 3.361
_cell_length_c 11.441
_cell_angle_alpha 90.00
_cell_angle_beta 90.00
_cell_angle_gamma 90.00
_space_group_name_H-M_alt 'I 4/m m m'
_space_group_IT_number 139
_space_group_name_Hall '-I 4 2'
loop_
_atom_site_label
_atom_site_type_symbol
_atom_site_fract_x
_atom_site_fract_y
_atom_site_fract_z
Zr1 Zr 0.000 0.000 0.134
Si1 Si 0.000 0.000 0.500
H1 H 0.000 0.500 0.250
```

Results
DFT total energy, eV/atom: -6.358

***

[10]
Entry from Alexandria via LeMat-Bulk: an optimized crystal structure of Sc5SeS4 (PBE-GGA).

```
data_Sc5SeS4
_cell_length_a 3.7285
_cell_length_b 3.7285
_cell_length_c 45.6243
_cell_angle_alpha 90.00
_cell_angle_beta 90.00
_cell_angle_gamma 120.00
_space_group_name_H-M_alt 'R -3 m'
_space_group_IT_number 166
_space_group_name_Hall '-R 3 2"'
loop_
_atom_site_label
_atom_site_type_symbol
_atom_site_fract_x
_atom_site_fract_y
_atom_site_fract_z
Sc1 Sc 0.0000 0.0000 0.0000
Sc2 Sc 0.0000 0.0000 0.2046
Sc3 Sc 0.0000 0.0000 0.3993
Se1 Se 0.0000 0.0000 0.5000
S1 S 0.0000 0.0000 0.0979
S2 S 0.0000 0.0000 0.3007
```

Results
DFT total energy, eV/atom: -6.981
Raw formation energy, eV per atom: -1.82

***

[11]
Entry from Alexandria via LeMat-Bulk: an optimized crystal structure of InPtO2 (PBE-GGA).

```
data_InPtO2
_cell_length_a 3.1934
_cell_length_b 3.1934
_cell_length_c 18.9641
_cell_angle_alpha 90.00
_cell_angle_beta 90.00
_cell_angle_gamma 120.00
_space_group_name_H-M_alt 'R -3 m'
_space_group_IT_number 166
_space_group_name_Hall '-R 3 2"'
loop_
_atom_site_label
_atom_site_type_symbol
_atom_site_fract_x
_atom_site_fract_y
_atom_site_fract_z
In1 In 0.0000 0.0000 0.0000
Pt1 Pt 0.0000 0.0000 0.5000
O1 O 0.0000 0.0000 0.3927
```

Results
DFT total energy, eV/atom: -5.536
Raw formation energy, eV per atom: -0.86

***

[12]
Entry from Alexandria via LeMat-Bulk: an optimized crystal structure of LaSi2 (PBE-GGA).

```
data_LaSi2
_cell_length_a 3.784
_cell_length_b 3.784
_cell_length_c 4.942
_cell_angle_alpha 90.00
_cell_angle_beta 90.00
_cell_angle_gamma 90.00
_space_group_name_H-M_alt 'P 4/m m m'
_space_group_IT_number 123
_space_group_name_Hall '-P 4 2'
loop_
_atom_site_label
_atom_site_type_symbol
_atom_site_fract_x
_atom_site_fract_y
_atom_site_fract_z
La1 La 0.000 0.000 0.000
Si1 Si 0.000 0.500 0.500
```

Results
DFT total energy, eV/atom: -5.518
Raw formation energy, eV per atom: -0.26

***

| no. | size of the total moment (μB/f.u.) |
| --- | --- |
| 1 | 7.60 |
| 2 | 0.00 |
| 3 | 0.07 |
| 4 | 0.00 |
| 5 | 0.00 |
| 6 | 0.00 |
| 7 | 0.00 |
| 8 | 0.00 |
| 9 | 0.66 |
| 10 | 0.00 |
| 11 | 0.00 |
| 12 | 0.00 |